(1)
# Lu2Os2O5

A relaxed Lu2Os2O5 crystal (GGA-PBE, OQMD).

a b c (Å): 3.510 3.510 9.105
angles (deg): 90.00 90.00 90.00
Space group P4/mmm (No. 123)
Inequivalent atoms, fractional coordinates:
Lu1 0.000 0.000 0.236
Os1 0.500 0.500 0.000
Os2 0.500 0.500 0.500
O1 0.000 0.000 0.000
O2 0.000 0.500 0.371

Properties
For the relative energy among the computed polymorphs, the calculation gives 0.119 eV per atom.

***

(2)
# KZnPdSe3

A relaxed KZnPdSe3 crystal (GGA-PBE, OQMD).

a b c (Å): 3.946 14.275 10.685
angles (deg): 90.00 90.00 90.00
Space group Cmcm (No. 63)
Inequivalent atoms, fractional coordinates:
K1 0.000 0.249 0.250
Zn1 0.000 0.039 0.750
Pd1 0.000 0.500 0.000
Se1 0.000 0.113 0.541
Se2 0.000 0.438 0.750

Properties
Its total energy is -86.68 eV for the cell shown.

***

no.,volume (A^3/atom)
1,12.47
2,25.08